DFT (GGA-PBE) results for a relaxed HgSb2Ru crystal.

## Properties
- E: -4.16 eV/atom
- Crystal system: tetragonal
- Raw formation energy: 28.3 kJ per mole of atoms
- Symmetry: No. 122

```
HgSb2Ru
1.0
-3.123 3.123 6.305
3.123 -3.123 6.305
3.123 3.123 -6.305
Hg Sb Ru
2 4 2
direct
0.000 0.000 0.000 Hg
0.750 0.250 0.500 Hg
0.183 0.625 0.058 Sb
0.375 0.433 0.558 Sb
0.567 0.125 0.942 Sb
0.875 0.817 0.442 Sb
0.250 0.750 0.500 Ru
0.500 0.500 0.000 Ru
```